# Cs3ZrCl7 PBE-GGA optimized geometry
data_Cs3ZrCl7
_cell_length_a 11.383
_cell_length_b 10.862
_cell_length_c 8.514
_cell_angle_alpha 90.00
_cell_angle_beta 127.47
_cell_angle_gamma 90.00
_space_group_name_H-M_alt 'C 1 m 1'
_space_group_IT_number 8
loop_
_space_group_symop_operation_xyz
'x,y,z'
'x,-y,z'
'x+1/2,y+1/2,z'
'x+1/2,-y+1/2,z'
loop_
_atom_site_label
_atom_site_type_symbol
_atom_site_fract_x
_atom_site_fract_y
_atom_site_fract_z
_atom_site_occupancy
Cs1 Cs 0.000 0.000 0.000 1
Cs2 Cs 0.005 0.264 0.565 1
Zr1 Zr 0.046 0.500 0.118 1
Cl1 Cl 0.113 0.273 0.252 1
Cl2 Cl 0.203 0.500 0.004 1
Cl3 Cl 0.303 0.500 0.492 1
Cl4 Cl 0.363 0.144 0.822 1
Cl5 Cl 0.381 0.000 0.222 1
# * uncorrected formation energy: -1.8965 eV per atom
# * total moment: 0.00 μB per formula unit

# ScZn2Ge PBE-GGA optimized geometry
data_ScZn2Ge
_cell_length_a 3.966
_cell_length_b 3.966
_cell_length_c 4.263
_cell_angle_alpha 90.00
_cell_angle_beta 90.00
_cell_angle_gamma 90.00
_space_group_name_H-M_alt 'P 4/m m m'
_space_group_IT_number 123
_space_group_name_Hall '-P 4 2'
loop_
_atom_site_label
_atom_site_type_symbol
_atom_site_fract_x
_atom_site_fract_y
_atom_site_fract_z
_atom_site_occupancy
Sc1 Sc 0.000 0.000 0.000 1
Zn1 Zn 0.000 0.500 0.500 1
Ge1 Ge 0.500 0.500 0.000 1
# * final energy: -3.80 eV/atom
# * total moment: 0.00 μB per formula unit